(1)
# GGA-PBE Dy2ThSe3, relaxed
data_Dy2ThSe3
_chemical_formula_sum 'Dy4 Th2 Se6'
_cell_length_a 4.0403
_cell_length_b 5.8461
_cell_length_c 12.5868
_cell_angle_alpha 90.00
_cell_angle_beta 90.00
_cell_angle_gamma 90.00
_symmetry_space_group_name_H-M 'I m m m'
_symmetry_Int_Tables_number 71
_symmetry_space_group_name_Hall '-I 2 2'
loop_
_atom_site_label
_atom_site_type_symbol
_atom_site_fract_x
_atom_site_fract_y
_atom_site_fract_z
Dy1 Dy 0.0000 0.0000 0.1619
Th1 Th 0.0000 0.0000 0.5000
Se1 Se 0.0000 0.5000 0.1758
Se2 Se 0.0000 0.5000 0.5000
# E_tot	-0.2267	Ha/atom
# formation energy from raw total energies	-1655	meV/atom


(2)
# GGA-PBE Dy3Th5Se8, relaxed
data_Dy3Th5Se8
_chemical_formula_sum 'Dy9 Th15 Se24'
_cell_length_a 8.1482
_cell_length_b 8.1482
_cell_length_c 21.1939
_cell_angle_alpha 90.00
_cell_angle_beta 90.00
_cell_angle_gamma 120.00
_symmetry_space_group_name_H-M 'R -3 m'
_symmetry_Int_Tables_number 166
_symmetry_space_group_name_Hall '-R 3 2"'
loop_
_atom_site_label
_atom_site_type_symbol
_atom_site_fract_x
_atom_site_fract_y
_atom_site_fract_z
Dy1 Dy 0.0000 0.5000 0.0000
Th1 Th 0.0000 0.0000 0.0000
Th2 Th 0.0000 0.0000 0.5000
Th3 Th 0.0000 0.5000 0.5000
Se1 Se 0.0000 0.0000 0.2553
Se2 Se 0.0071 0.5035 0.2539
# E_tot	-0.2402	Ha/atom
# formation energy from raw total energies	-1612	meV/atom